The following is a PBE+U calculation of an optimized crystal structure of Tl2CdFeF6, from the Alexandria database.

a b c (Å): 6.1090 6.2007 8.7822
angles (deg): 90.00 90.00 90.00
Closest atoms and distances in Å follow each position.
Positions (direct):
Fe 0.5000 0.2499 0.5000  6 F 2.09-2.14
Fe 0.0000 0.7501 0.0000  6 F 2.09-2.14
F 0.2636 0.4929 0.5000  1 Fe 2.09, 1 Cd 2.27
F 0.7636 0.9932 0.0000  1 Fe 2.09, 1 Cd 2.27
F 0.7364 0.4929 0.5000  1 Fe 2.09, 1 Cd 2.27
F 0.0000 0.7502 0.7566  1 Fe 2.14, 1 Cd 2.25
F 0.5000 0.2498 0.7434  1 Fe 2.14, 1 Cd 2.25
F 0.7636 0.5071 0.0000  1 Fe 2.09, 1 Cd 2.27
F 0.5000 0.2498 0.2566  1 Fe 2.14, 1 Cd 2.25
F 0.2364 0.5071 0.0000  1 Fe 2.09, 1 Cd 2.27
F 0.2364 0.9932 0.0000  1 Fe 2.09, 1 Cd 2.27
F 0.0000 0.7502 0.2434  1 Fe 2.14, 1 Cd 2.25
F 0.2636 0.0068 0.5000  1 Fe 2.09, 1 Cd 2.27
F 0.7364 0.0068 0.5000  1 Fe 2.09, 1 Cd 2.27
Tl 0.0000 0.2499 0.2506  12 F 3.05-3.11
Tl 0.5000 0.7501 0.2494  12 F 3.05-3.11
Tl 0.5000 0.7501 0.7506  12 F 3.05-3.11
Tl 0.0000 0.2499 0.7494  12 F 3.05-3.11
Cd 0.5000 0.2501 0.0000  6 F 2.25-2.27
Cd 0.0000 0.7499 0.5000  6 F 2.25-2.27

- Total energy: -0.1608 hartree per atom